# 1
The following is a DFT calculation (PBE) of a relaxed Mg2CrRh crystal.

Formation energy from the elements ... 623 meV per atom
Total magnetic moment ... 0.00 Bohr magnetons per cell
DOS at the Fermi energy ... 1.12 states/eV per atom
Density ... 5.07 g/cm3
Distance to the lowest polymorph of the same formula ... 0.6802 eV per atom

Unit cell a=7.1435 b=7.1435 c=5.2296 alpha=90.00 beta=90.00 gamma=90.00
Space group I-42d (No. 122)
Inequivalent atoms, fractional coordinates:
1 Mg 0.2377 0.2500 0.1250 [8 per cell]
2 Cr 0.0000 0.0000 0.5000 [4 per cell]
3 Rh 0.0000 0.0000 0.0000 [4 per cell]

=====

# 2
The following is a DFT calculation (PBE) of a relaxed Er8SnGe3Te4 crystal.

Formation energy (no corrections) ... -1.11 eV per atom
Total magnetic moment ... 0.00 Bohr magnetons per cell
DOS at the Fermi energy ... 0.15 states/eV per atom
Density ... 8.21 g/cm3

Unit cell a=8.5009 b=8.5009 c=21.1829 alpha=90.00 beta=90.00 gamma=120.00
Space group R-3m (No. 166, hexagonal axes)
Inequivalent atoms, fractional coordinates:
1 Er 0.0000 0.0000 0.2390 [6 per cell]
2 Er 0.0092 0.5046 0.7588 [18 per cell]
3 Sn 0.0000 0.0000 0.5000 [3 per cell]
4 Ge 0.0000 0.5000 0.5000 [9 per cell]
5 Te 0.0000 0.0000 0.0000 [3 per cell]
6 Te 0.0000 0.5000 0.0000 [9 per cell]

=====

# 3
The following is a DFT calculation (PBE) of a relaxed PmHfZnCo crystal.

Formation energy from the elements ... -56 meV per atom
Total magnetic moment ... 1.69 Bohr magnetons per cell
DOS at the Fermi energy ... 0.77 states/eV per atom
Density ... 9.57 g/cm3

Unit cell a=6.7737 b=6.7737 c=6.7737 alpha=90.00 beta=90.00 gamma=90.00
Space group F-43m (No. 216)
Inequivalent atoms, fractional coordinates:
1 Pm 0.0000 0.0000 0.0000 [4 per cell]
2 Hf 0.0000 0.0000 0.5000 [4 per cell]
3 Zn 0.2500 0.2500 0.2500 [4 per cell]
4 Co 0.2500 0.2500 0.7500 [4 per cell]

=====

# 4
The following is a DFT calculation (PBE) of a relaxed Pr6TlPb2 crystal.

Formation energy from the elements ... -380 meV per atom
Total magnetic moment ... 4.90 Bohr magnetons per cell
DOS at the Fermi energy ... 0.91 states/eV per atom
Density ... 7.97 g/cm3

Unit cell a=8.7337 b=8.7337 c=4.6209 alpha=90.00 beta=90.00 gamma=120.00
Space group P-62m (No. 189)
Inequivalent atoms, fractional coordinates:
1 Pr 0.0000 0.4091 0.0000 [3 per cell]
2 Pr 0.0000 0.7422 0.5000 [3 per cell]
3 Tl 0.0000 0.0000 0.0000 [1 per cell]
4 Pb 0.3333 0.6667 0.5000 [2 per cell]

=====

# 5
The following is a DFT calculation (PBE) of a relaxed Be2TcPd2 crystal.

Formation energy from the elements ... 216 meV per atom
Total magnetic moment ... 4.82 Bohr magnetons per cell
DOS at the Fermi energy ... 0.78 states/eV per atom
Density ... 8.07 g/cm3
Distance to the lowest polymorph of the same formula ... 0.4778 eV per atom

Unit cell a=4.0199 b=4.0199 c=8.3776 alpha=90.00 beta=90.00 gamma=90.00
Space group I4/mmm (No. 139)
Inequivalent atoms, fractional coordinates:
1 Be 0.0000 0.5000 0.2500 [4 per cell]
2 Tc 0.0000 0.0000 0.0000 [2 per cell]
3 Pd 0.0000 0.0000 0.3513 [4 per cell]

=====

# 6
The following is a DFT calculation (PBE) of a relaxed ErZn3Pt2 crystal.

Formation energy from the elements ... -681 meV per atom
Total magnetic moment ... 0.00 Bohr magnetons per cell
DOS at the Fermi energy ... 0.43 states/eV per atom
Density ... 11.76 g/cm3

Unit cell a=17.2143 b=3.8827 c=9.6760 alpha=90.00 beta=99.06 gamma=90.00
Space group C2/m (No. 12)
Inequivalent atoms, fractional coordinates:
1 Er 0.0000 0.0000 0.0000 [2 per cell]
2 Er 0.1564 0.0000 0.7211 [4 per cell]
3 Zn 0.0000 0.5000 0.5000 [2 per cell]
4 Zn 0.0574 0.0000 0.3466 [4 per cell]
5 Zn 0.1369 0.5000 0.2134 [4 per cell]
6 Zn 0.1474 0.5000 0.9580 [4 per cell]
7 Zn 0.2190 0.0000 0.3846 [4 per cell]
8 Pt 0.0246 0.5000 0.7786 [4 per cell]
9 Pt 0.1411 0.5000 0.4863 [4 per cell]
10 Pt 0.2149 0.0000 0.1116 [4 per cell]

=====

# 7
The following is a DFT calculation (PBE) of a relaxed CdReIO2 crystal.

Formation energy (no corrections) ... -0.44 eV per atom
Total magnetic moment ... 0.35 Bohr magnetons per cell
DOS at the Fermi energy ... 0.41 states/eV per atom
Density ... 7.74 g/cm3
Distance to the lowest polymorph of the same formula ... 0.0000 eV per atom

Unit cell a=3.9397 b=3.9397 c=6.3272 alpha=90.00 beta=90.00 gamma=90.00
Space group P4/mmm (No. 123)
Inequivalent atoms, fractional coordinates:
1 Cd 0.0000 0.0000 0.0000 [1 per cell]
2 Re 0.5000 0.5000 0.5000 [1 per cell]
3 I 0.5000 0.5000 0.0000 [1 per cell]
4 O 0.0000 0.5000 0.5000 [2 per cell]

=====

# 8
The following is a DFT calculation (PBE) of a relaxed NaGeP crystal.

Formation energy from the elements ... -186 meV per atom
Total magnetic moment ... 0.00 Bohr magnetons per cell
DOS at the Fermi energy ... 0.10 states/eV per atom
Density ... 3.05 g/cm3

Unit cell a=6.1955 b=3.8350 c=6.5038 alpha=90.00 beta=116.86 gamma=90.00
Space group P2_1/m (No. 11)
Inequivalent atoms, fractional coordinates:
1 Na 0.1418 0.2500 0.3411 [2 per cell]
2 Ge 0.3549 0.7500 0.1010 [2 per cell]
3 P 0.3745 0.7500 0.7262 [2 per cell]

=====

# 9
The following is a DFT calculation (PBE) of a relaxed TiBCl2 crystal.

Formation energy (no corrections) ... 0.16 eV per atom
Total magnetic moment ... 0.00 Bohr magnetons per cell
DOS at the Fermi energy ... 0.91 states/eV per atom
Density ... 2.85 g/cm3
Distance to the lowest polymorph of the same formula ... 0.0000 eV per atom

Unit cell a=3.1491 b=3.1491 c=26.3687 alpha=90.00 beta=90.00 gamma=120.00
Space group R-3m (No. 166, hexagonal axes)
Inequivalent atoms, fractional coordinates:
1 Ti 0.0000 0.0000 0.0000 [3 per cell]
2 B 0.0000 0.0000 0.5000 [3 per cell]
3 Cl 0.0000 0.0000 0.3963 [6 per cell]

=====

# 10
The following is a DFT calculation (PBE) of a relaxed CsZnI2O crystal.

Formation energy (no corrections) ... 0.31 eV per atom
Total magnetic moment ... 1.66 Bohr magnetons per cell
DOS at the Fermi energy ... 1.57 states/eV per atom
Density ... 3.24 g/cm3
Distance to the lowest polymorph of the same formula ... 1.0980 eV per atom

Unit cell a=7.3861 b=7.3861 c=4.3985 alpha=90.00 beta=90.00 gamma=90.00
Space group P4/mmm (No. 123)
Inequivalent atoms, fractional coordinates:
1 Cs 0.0000 0.0000 0.0000 [1 per cell]
2 Zn 0.5000 0.5000 0.5000 [1 per cell]
3 I 0.0000 0.5000 0.0000 [2 per cell]
4 O 0.0000 0.0000 0.5000 [1 per cell]

=====

# 11
The following is a DFT calculation (PBE) of a relaxed CsYAlCo2 crystal.

Formation energy from the elements ... 1639 meV per atom
Total magnetic moment ... 0.00 Bohr magnetons per cell
DOS at the Fermi energy ... 1.30 states/eV per atom
Density ... 4.11 g/cm3

Unit cell a=4.9017 b=4.9017 c=6.1591 alpha=90.00 beta=90.00 gamma=90.00
Space group P4/mmm (No. 123)
Inequivalent atoms, fractional coordinates:
1 Cs 0.0000 0.0000 0.0000 [1 per cell]
2 Y 0.0000 0.0000 0.5000 [1 per cell]
3 Al 0.5000 0.5000 0.0000 [1 per cell]
4 Co 0.0000 0.5000 0.5000 [2 per cell]

=====

# 12
The following is a DFT calculation (PBE) of a relaxed Ti5P4H crystal.

E ... -7.353 eV per atom
Total magnetic moment ... 0.01 Bohr magnetons per cell
DOS at the Fermi energy ... 0.77 states/eV per atom
Density ... 4.06 g/cm3

Unit cell a=7.7692 b=7.7692 c=4.9403 alpha=90.00 beta=90.00 gamma=90.00
Space group I4 (No. 79)
Inequivalent atoms, fractional coordinates:
1 Ti 0.0000 0.0000 0.0000 [2 per cell]
2 Ti 0.1080 0.3108 0.4352 [8 per cell]
3 P 0.1009 0.2972 0.9373 [8 per cell]
4 H 0.0000 0.0000 0.3896 [2 per cell]

=====

# 13
The following is a DFT calculation (PBE) of a relaxed LaHg2Se crystal.

Formation energy (no corrections) ... -0.88 eV per atom
Total magnetic moment ... 0.00 Bohr magnetons per cell
DOS at the Fermi energy ... 0.57 states/eV per atom
Density ... 9.56 g/cm3

Unit cell a=4.3148 b=4.3108 c=5.7831 alpha=90.00 beta=90.78 gamma=90.00
Space group Pm (No. 6)
Inequivalent atoms, fractional coordinates:
1 La 0.0000 0.0000 0.0000 [1 per cell]
2 Hg 0.0000 0.5000 0.5028 [1 per cell]
3 Hg 0.4999 0.0000 0.5023 [1 per cell]
4 Se 0.5001 0.5000 0.0037 [1 per cell]

=====

# 14
The following is a DFT calculation (PBE) of a relaxed LaNd2Al6 crystal.

Formation energy from the elements ... -469 meV per atom
Total magnetic moment ... 0.00 Bohr magnetons per cell
DOS at the Fermi energy ... 0.65 states/eV per atom
Density ... 4.64 g/cm3

Unit cell a=7.9693 b=7.9693 c=3.8354 alpha=90.00 beta=90.00 gamma=120.00
Space group P6/mmm (No. 191)
Inequivalent atoms, fractional coordinates:
1 La 0.0000 0.0000 0.0000 [1 per cell]
2 Nd 0.3333 0.6667 0.0000 [2 per cell]
3 Al 0.0000 0.3344 0.5000 [6 per cell]

=====

# 15
The following is a DFT calculation (PBE) of a relaxed SrAg2Pb crystal.

Formation energy from the elements ... -147 meV per atom
Total magnetic moment ... 0.00 Bohr magnetons per cell
DOS at the Fermi energy ... 0.36 states/eV per atom
Density ... 8.00 g/cm3

Unit cell a=4.2565 b=5.3182 c=9.3631 alpha=90.00 beta=90.00 gamma=90.00
Space group Imm2 (No. 44)
Inequivalent atoms, fractional coordinates:
1 Sr 0.0000 0.0000 0.0000 [2 per cell]
2 Ag 0.0000 0.0000 0.5182 [2 per cell]
3 Ag 0.0000 0.5000 0.2275 [2 per cell]
4 Pb 0.0000 0.5000 0.7806 [2 per cell]

=====

# 16
The following is a DFT calculation (PBE) of a relaxed HgRh crystal.

Formation energy from the elements ... 462 meV per atom
Total magnetic moment ... 0.00 Bohr magnetons per cell
DOS at the Fermi energy ... 0.67 states/eV per atom
Density ... 12.11 g/cm3

Unit cell a=4.3867 b=4.3867 c=4.9943 alpha=90.00 beta=90.00 gamma=120.00
Space group P6_3/mmc (No. 194)
Inequivalent atoms, fractional coordinates:
1 Hg 0.3333 0.6667 0.2500 [2 per cell]
2 Rh 0.0000 0.0000 0.0000 [2 per cell]